A plane-wave DFT calculation with meta-GGA SCAN was carried out for a crystal of TlCrW2 relaxed with PBEsol.

a b c (Å): 5.429 9.122 2.775
angles (deg): 90.00 110.39 90.00
Element x y z (fractional)
Tl1 0.000 0.000 0.000
Tl2 0.500 0.500 0.000
Cr1 0.000 0.500 0.000
Cr2 0.500 0.000 0.000
W1 0.250 0.250 0.500
W2 0.250 0.750 0.500
W3 0.750 0.250 0.500
W4 0.750 0.750 0.500

Values from the calculation:
Volume, Å³ per cell: 129
Density of states at the Fermi level, states/eV/atom: 0.7688
E, eV per atom: -56.704
Excess energy over the best structure of this formula in the dataset, meV/atom: 185
Formation enthalpy at 0 K, kJ per mole of atoms: 79.72

A plane-wave DFT calculation with meta-GGA SCAN was carried out for a crystal of MgBe2Te relaxed with PBEsol.

a b c (Å): 3.392 3.392 5.976
angles (deg): 90.00 90.00 90.00
Element x y z (fractional)
Mg1 0.000 0.000 0.000
Be1 0.000 0.000 0.563
Be2 0.500 0.500 0.758
Te1 0.500 0.500 0.360

Values from the calculation:
Volume, Å³ per cell: 69
Density of states at the Fermi level, states/eV/atom: 0.2928
E, eV per atom: -12.290
Excess energy over the best structure of this formula in the dataset, meV/atom: 0

A plane-wave DFT calculation with meta-GGA SCAN was carried out for a crystal of SrZn2Ir2 relaxed with PBEsol.

a b c (Å): 4.320 4.320 10.078
angles (deg): 90.00 90.00 90.00
Element x y z (fractional)
Sr1 0.000 0.000 0.000
Sr2 0.500 0.500 0.500
Zn1 0.000 0.500 0.250
Zn2 0.000 0.500 0.750
Zn3 0.500 0.000 0.250
Zn4 0.500 0.000 0.750
Ir1 0.000 0.000 0.381
Ir2 0.000 0.000 0.619
Ir3 0.500 0.500 0.119
Ir4 0.500 0.500 0.881

Values from the calculation:
Volume, Å³ per cell: 188
Density of states at the Fermi level, states/eV/atom: 0.2211
E, eV per atom: -38.646
Formation enthalpy at 0 K, kJ per mole of atoms: -33.28

A plane-wave DFT calculation with meta-GGA SCAN was carried out for a crystal of Ba2NdGaSe5 relaxed with PBEsol.

a b c (Å): 7.286 8.774 9.426
angles (deg): 103.76 103.02 107.68
Element x y z (fractional)
Ba1 0.136 0.479 0.295
Ba2 0.159 0.991 0.294
Ba3 0.841 0.009 0.706
Ba4 0.864 0.521 0.705
Nd1 0.498 0.233 0.997
Nd2 0.502 0.767 0.003
Ga1 0.304 0.371 0.685
Ga2 0.696 0.629 0.315
Se1 0.016 0.762 0.510
Se2 0.195 0.907 0.942
Se3 0.202 0.405 0.923
Se4 0.481 0.649 0.679
Se5 0.486 0.182 0.675
Se6 0.514 0.818 0.325
Se7 0.519 0.351 0.321
Se8 0.798 0.595 0.077
Se9 0.805 0.093 0.058
Se10 0.984 0.238 0.490

Values from the calculation:
Volume, Å³ per cell: 528
Density of states at the Fermi level, states/eV/atom: 0.0000
E, eV per atom: -28.469

A plane-wave DFT calculation with meta-GGA SCAN was carried out for a crystal of WSeCl2 relaxed with PBEsol.

a b c (Å): 5.964 3.148 6.080
angles (deg): 90.00 117.18 90.00
Element x y z (fractional)
W1 0.000 0.000 0.000
Se1 0.294 0.500 0.974
Cl1 0.005 0.500 0.297
Cl2 0.662 0.000 0.628

Values from the calculation:
Volume, Å³ per cell: 102
Density of states at the Fermi level, states/eV/atom: 0.0601
E, eV per atom: -26.898
Excess energy over the best structure of this formula in the dataset, meV/atom: 0

A plane-wave DFT calculation with meta-GGA SCAN was carried out for a crystal of SrCdIO2 relaxed with PBEsol.

a b c (Å): 4.441 4.441 5.572
angles (deg): 90.00 90.00 90.00
Element x y z (fractional)
Sr1 0.000 0.000 0.000
Cd1 0.500 0.500 0.500
I1 0.500 0.500 0.000
O1 0.000 0.500 0.500
O2 0.500 0.000 0.500

Values from the calculation:
Volume, Å³ per cell: 110
Density of states at the Fermi level, states/eV/atom: 0.4958
E, eV per atom: -21.257

A plane-wave DFT calculation with meta-GGA SCAN was carried out for a crystal of KRu4O8 relaxed with PBEsol.

a b c (Å): 7.079 7.079 7.079
angles (deg): 92.82 92.82 154.36
Element x y z (fractional)
K1 0.000 0.000 0.000
Ru1 0.148 0.668 0.816
Ru2 0.332 0.148 0.480
Ru3 0.668 0.852 0.520
Ru4 0.852 0.332 0.184
O1 0.047 0.343 0.391
O2 0.301 0.352 0.653
O3 0.343 0.953 0.296
O4 0.352 0.699 0.051
O5 0.648 0.301 0.949
O6 0.657 0.047 0.704
O7 0.699 0.648 0.347
O8 0.953 0.657 0.609

Values from the calculation:
Volume, Å³ per cell: 150
Density of states at the Fermi level, states/eV/atom: 0.2620
E, eV per atom: -16.451

A plane-wave DFT calculation with meta-GGA SCAN was carried out for a crystal of CoSiAg relaxed with PBEsol.

a b c (Å): 2.752 2.752 6.094
angles (deg): 90.00 90.00 120.00
Element x y z (fractional)
Co1 0.000 0.000 0.000
Si1 0.667 0.333 0.735
Ag1 0.333 0.667 0.364

Values from the calculation:
Volume, Å³ per cell: 40
Density of states at the Fermi level, states/eV/atom: 0.4289
E, eV per atom: -19.362
Excess energy over the best structure of this formula in the dataset, meV/atom: 22

A plane-wave DFT calculation with meta-GGA SCAN was carried out for a crystal of NiSbOs relaxed with PBEsol.

a b c (Å): 3.206 3.206 8.637
angles (deg): 90.00 90.00 90.00
Element x y z (fractional)
Ni1 0.000 0.000 0.000
Ni2 0.500 0.500 0.500
Sb1 0.000 0.000 0.347
Sb2 0.500 0.500 0.847
Os1 0.000 0.000 0.673
Os2 0.500 0.500 0.173

Values from the calculation:
Volume, Å³ per cell: 89
Density of states at the Fermi level, states/eV/atom: 0.6433
E, eV per atom: -41.306

A plane-wave DFT calculation with meta-GGA SCAN was carried out for a crystal of Ca2HfPt relaxed with PBEsol.

a b c (Å): 7.150 7.150 7.150
angles (deg): 90.00 90.00 90.00
Element x y z (fractional)
Ca1 0.250 0.250 0.250
Ca2 0.250 0.250 0.750
Ca3 0.250 0.750 0.250
Ca4 0.250 0.750 0.750
Ca5 0.750 0.250 0.250
Ca6 0.750 0.250 0.750
Ca7 0.750 0.750 0.250
Ca8 0.750 0.750 0.750
Hf1 0.000 0.000 0.000
Hf2 0.000 0.500 0.500
Hf3 0.500 0.000 0.500
Hf4 0.500 0.500 0.000
Pt1 0.000 0.000 0.500
Pt2 0.000 0.500 0.000
Pt3 0.500 0.000 0.000
Pt4 0.500 0.500 0.500

Values from the calculation:
Volume, Å³ per cell: 365
Density of states at the Fermi level, states/eV/atom: 1.3146
E, eV per atom: -37.849
Formation enthalpy at 0 K, kJ per mole of atoms: 19.20

A plane-wave DFT calculation with meta-GGA SCAN was carried out for a crystal of BeTcOs relaxed with PBEsol.

a b c (Å): 2.815 2.815 9.003
angles (deg): 90.00 90.00 90.00
Element x y z (fractional)
Be1 0.000 0.000 0.000
Be2 0.500 0.500 0.500
Tc1 0.000 0.000 0.336
Tc2 0.500 0.500 0.836
Os1 0.000 0.000 0.652
Os2 0.500 0.500 0.152

Values from the calculation:
Volume, Å³ per cell: 71
Density of states at the Fermi level, states/eV/atom: 0.3588
E, eV per atom: -37.409
Formation enthalpy at 0 K, kJ per mole of atoms: -30.07

A plane-wave DFT calculation with meta-GGA SCAN was carried out for a crystal of SrCr2Cu relaxed with PBEsol.

a b c (Å): 9.099 3.021 5.451
angles (deg): 90.00 101.49 90.00
Element x y z (fractional)
Sr1 0.000 0.000 0.000
Sr2 0.500 0.500 0.000
Cr1 0.218 0.000 0.611
Cr2 0.282 0.500 0.389
Cr3 0.718 0.500 0.611
Cr4 0.782 0.000 0.389
Cu1 0.000 0.500 0.500
Cu2 0.500 0.000 0.500

Values from the calculation:
Volume, Å³ per cell: 147
Density of states at the Fermi level, states/eV/atom: 0.8400
E, eV per atom: -17.782
Excess energy over the best structure of this formula in the dataset, meV/atom: 0
Formation enthalpy at 0 K, kJ per mole of atoms: 75.12

A plane-wave DFT calculation with meta-GGA SCAN was carried out for a crystal of HfIrO2F relaxed with PBEsol.

a b c (Å): 4.078 4.078 4.002
angles (deg): 90.00 90.00 90.00
Element x y z (fractional)
Hf1 0.000 0.000 0.000
Ir1 0.500 0.500 0.500
O1 0.000 0.500 0.000
O2 0.500 0.000 0.000
F1 0.000 0.000 0.500

Values from the calculation:
Volume, Å³ per cell: 67
Density of states at the Fermi level, states/eV/atom: 0.4236
E, eV per atom: -31.490